1.
First-principles (PBE-GGA) data for SnO2F after structural relaxation, as listed in Alexandria.

Cell: 3.2267 3.2267 18.3502 Å, 90.00 90.00 120.00°
Space group R-3m (No. 166, hexagonal axes)
Unique sites:
Sn 0.0000 0.0000 0.0000
O 0.0000 0.0000 0.3856
F 0.0000 0.0000 0.5000

Results
**Excess energy over the best structure of this formula in the dataset**: 0.177 eV per atom
**Uncorrected formation energy**: -0.932 eV per atom

2.
First-principles (PBE-GGA) data for ErPuRh4 after structural relaxation, as listed in Alexandria.

Cell: 7.533 7.533 7.533 Å, 90.00 90.00 90.00°
Space group F-43m (No. 216)
Unique sites:
Er 0.000 0.000 0.000
Pu 0.250 0.250 0.250
Rh 0.125 0.125 0.625

Results
**DFT formation energy**: -604 meV per atom

3.
First-principles (PBE-GGA) data for NdErTh2 after structural relaxation, as listed in Alexandria.

Cell: 3.5048 3.5048 37.3620 Å, 90.00 90.00 120.00°
Space group R-3m (No. 166, hexagonal axes)
Unique sites:
Nd 0.0000 0.0000 0.0000
Er 0.0000 0.0000 0.5000
Th 0.0000 0.0000 0.0887

Results
**Excess energy over the best structure of this formula in the dataset**: 0.159 eV per atom
**DFT formation energy**: 189 meV per atom

4.
First-principles (PBE-GGA) data for K2RbSbI6 after structural relaxation, as listed in Alexandria.

Cell: 12.943 12.943 12.943 Å, 90.00 90.00 90.00°
Space group Fm-3m (No. 225)
Unique sites:
K 0.250 0.250 0.250
Rb 0.000 0.000 0.000
Sb 0.000 0.000 0.500
I 0.000 0.000 0.267

Results
**Excess energy over the best structure of this formula in the dataset**: 0.099 eV per atom
**Uncorrected formation energy**: -0.914 eV per atom

5.
First-principles (PBE-GGA) data for Si2NiBi after structural relaxation, as listed in Alexandria.

Cell: 4.671 4.671 14.989 Å, 90.00 90.00 90.00°
Space group I-42d (No. 122)
Unique sites:
Si 0.104 0.250 0.125
Ni 0.000 0.000 0.000
Bi 0.000 0.000 0.500

Results
**Uncorrected formation energy**: 0.173 eV per atom

6.
First-principles (PBE-GGA) data for InAgC3 after structural relaxation, as listed in Alexandria.

Cell: 4.365 4.365 4.365 Å, 90.00 90.00 90.00°
Space group Pm-3m (No. 221)
Unique sites:
In 0.000 0.000 0.000
Ag 0.500 0.500 0.500
C 0.000 0.000 0.500

Results
**Excess energy over the best structure of this formula in the dataset**: 0.148 eV per atom
**DFT formation energy**: 3158 meV per atom

7.
First-principles (PBE-GGA) data for NdScBi2 after structural relaxation, as listed in Alexandria.

Cell: 4.4493 4.4493 21.6725 Å, 90.00 90.00 120.00°
Space group R-3m (No. 166, hexagonal axes)
Unique sites:
Nd 0.0000 0.0000 0.0000
Sc 0.0000 0.0000 0.5000
Bi 0.0000 0.0000 0.2422

Results
**Excess energy over the best structure of this formula in the dataset**: 0.000 eV per atom
**DFT formation energy**: -793 meV per atom

8.
First-principles (PBE-GGA) data for ZnAuSe after structural relaxation, as listed in Alexandria.

Cell: 3.8583 3.8583 4.6144 Å, 90.00 90.00 120.00°
Space group P3m1 (No. 156)
Unique sites:
Zn 0.0000 0.0000 0.0000
Au 0.3333 0.6667 0.6689
Se 0.6667 0.3333 0.2842

Results
**Excess energy over the best structure of this formula in the dataset**: 0.124 eV per atom
**Uncorrected formation energy**: -0.067 eV per atom

9.
First-principles (PBE-GGA) data for Zr5Sn2Ge2 after structural relaxation, as listed in Alexandria.

Cell: 14.400 7.408 7.312 Å, 90.00 90.00 90.00°
Space group Cmce (No. 64)
Unique sites:
Zr 0.000 0.000 0.000
Zr 0.126 0.168 0.330
Sn 0.212 0.000 0.000
Ge 0.000 0.130 0.630

Results
**DFT formation energy**: -676 meV per atom

10.
First-principles (PBE-GGA) data for KPmAl4 after structural relaxation, as listed in Alexandria.

Cell: 8.134 8.134 8.134 Å, 90.00 90.00 90.00°
Space group F-43m (No. 216)
Unique sites:
K 0.000 0.000 0.000
Pm 0.250 0.250 0.750
Al 0.124 0.124 0.376

Results
**DFT formation energy**: -121 meV per atom

11.
First-principles (PBE-GGA) data for Nd5PaBi6 after structural relaxation, as listed in Alexandria.

Cell: 7.938 13.754 7.932 Å, 90.00 109.47 90.00°
Space group C2/m (No. 12)
Unique sites:
Nd 0.000 0.000 0.000
Nd 0.000 0.166 0.500
Nd 0.000 0.330 0.000
Pa 0.000 0.500 0.500
Bi 0.242 0.500 0.253
Bi 0.244 0.337 0.745

Results
**DFT formation energy**: -808 meV per atom

12.
First-principles (PBE-GGA) data for LaEr4Tl after structural relaxation, as listed in Alexandria.

Cell: 8.677 14.136 6.425 Å, 90.00 108.61 90.00°
Space group C2/c (No. 15)
Unique sites:
La 0.000 0.089 0.250
Er 0.096 0.310 0.541
Er 0.217 0.129 0.879
Tl 0.000 0.500 0.250

Results
**Excess energy over the best structure of this formula in the dataset**: 0.081 eV per atom
**DFT formation energy**: -15 meV per atom